Below is a PBEsol-optimized structure of BaReCl2, with properties calculated at the SCAN level.

```
BaReCl2
1.0
4.093 0.000 0.000
0.000 4.093 0.000
0.000 0.000 6.290
Re Ba Cl
1 1 2
Direct
0.000 0.000 0.426
0.500 0.500 0.784
0.000 0.000 0.998
0.500 0.500 0.291
```

Values from the calculation:
energy relative to the elements, uncorrected = -22 meV/atom
E_tot = -31.6733 eV per atom
offset from the most stable computed form = 64 meV per atom
DOS at the Fermi energy = 2.8 states/eV per cell
crystal system = tetragonal
space-group type = P4mm (99)